# Ti4ZnH GGA-PBE relaxed
# SG: C2/m (12)
# DFT total energy, eV/atom: -6.18
# M_tot, μB/f.u.: 0.00
data_Ti4ZnH
_cell_length_a 2.961
_cell_length_b 8.285
_cell_length_c 7.007
_cell_angle_alpha 78.95
_cell_angle_beta 90.00
_cell_angle_gamma 90.00
_symmetry_space_group_name_H-M 'P 1'
_symmetry_Int_Tables_number 1
loop_
_symmetry_equiv_pos_as_xyz
'x,y,z'
loop_
_atom_site_label
_atom_site_type_symbol
_atom_site_fract_x
_atom_site_fract_y
_atom_site_fract_z
Zn1 Zn 0.000 0.000 0.500
H1 H 0.000 0.000 0.000
Ti1 Ti 0.000 0.591 0.295
H2 H 0.500 0.500 0.500
Ti2 Ti 0.000 0.409 0.705
Ti3 Ti 0.000 0.213 0.093
Ti4 Ti 0.500 0.909 0.205
Zn2 Zn 0.500 0.500 0.000
Ti5 Ti 0.500 0.713 0.593
Ti6 Ti 0.500 0.287 0.407
Ti7 Ti 0.000 0.787 0.907
Ti8 Ti 0.500 0.091 0.795